1.
Here is a relaxed BeCr2Pb crystal from Alexandria via LeMat-Bulk. Energies are from PBE.

Structure (POSCAR):
```
BeCr2Pb
1.0
4.078 0.000 0.000
0.000 4.068 0.000
0.000 0.000 3.900
Pb Cr Be
1 2 1
Direct
0.500 0.000 0.500
0.000 0.000 0.000
0.500 0.500 0.000
0.000 0.500 0.500
```

Computed properties:
The calculated formation energy is 0.6835 eV/atom. The total energy comes out at -5.987 eV per atom.

***

2.
Here is a relaxed BeCrPb2 crystal from Alexandria via LeMat-Bulk. Energies are from PBE.

Structure (POSCAR):
```
BeCrPb2
1.0
8.356 -0.062 -0.037
7.646 3.371 -0.037
7.646 1.581 2.977
Pb Cr Be
2 1 1
Direct
0.992 0.992 0.992
0.508 0.508 0.508
0.750 0.750 0.750
0.250 0.250 0.250
```

Computed properties:
The calculated formation energy is 0.6841 eV/atom. The total energy comes out at -4.507 eV per atom.

***

3.
Here is a relaxed Be2CrPb crystal from Alexandria via LeMat-Bulk. Energies are from PBE.

Structure (POSCAR):
```
Be2CrPb
1.0
5.017 0.052 -0.145
3.694 3.396 -0.145
1.297 0.513 3.194
Pb Cr Be
1 1 2
Direct
0.268 0.268 0.233
0.515 0.515 0.485
0.021 0.021 0.978
0.696 0.696 0.804
```

Computed properties:
The calculated formation energy is 0.5587 eV/atom. The total energy comes out at -4.637 eV per atom.

***

4.
Here is a relaxed BeCrPb2 crystal from Alexandria via LeMat-Bulk. Energies are from PBE.

Structure (POSCAR):
```
BeCrPb2
1.0
4.337 0.000 0.000
0.000 4.954 0.000
0.000 0.000 3.956
Pb Cr Be
2 1 1
Direct
0.000 0.000 0.000
0.500 0.500 0.000
0.000 0.500 0.500
0.500 0.000 0.500
```

Computed properties:
The calculated formation energy is 0.6944 eV/atom. The total energy comes out at -4.497 eV per atom.

***

5.
Here is a relaxed BeCr3Pb crystal from Alexandria via LeMat-Bulk. Energies are from PBE.

Structure (POSCAR):
```
BeCr3Pb
1.0
-4.392 1.714 -2.189
0.689 -3.293 -3.962
-2.693 -3.638 2.555
Pb Cr Be
1 3 1
Direct
0.000 0.000 0.000
0.000 0.500 0.000
0.000 0.000 0.500
0.500 0.000 0.000
0.500 0.500 0.500
```

Computed properties:
The calculated formation energy is 1.9431 eV/atom. The total energy comes out at -5.318 eV per atom.

***

6.
Here is a relaxed Be2CrPb crystal from Alexandria via LeMat-Bulk. Energies are from PBE.

Structure (POSCAR):
```
Be2CrPb
1.0
4.436 0.000 0.000
2.218 3.842 0.000
2.218 1.281 3.622
Pb Cr Be
1 1 2
Direct
0.750 0.750 0.750
0.500 0.500 0.500
0.000 0.000 0.000
0.250 0.250 0.250
```

Computed properties:
The calculated formation energy is 0.8226 eV/atom. The total energy comes out at -4.373 eV per atom.

***

7.
Here is a relaxed BeCrPb2 crystal from Alexandria via LeMat-Bulk. Energies are from PBE.

Structure (POSCAR):
```
BeCrPb2
1.0
-0.252 -5.073 0.901
1.706 -4.047 -2.707
4.271 -2.667 1.558
Pb Cr Be
2 1 1
Direct
0.020 0.020 0.980
0.480 0.480 0.520
0.250 0.250 0.250
0.750 0.750 0.750
```

Computed properties:
The calculated formation energy is 0.7058 eV/atom. The total energy comes out at -4.486 eV per atom.

***

8.
Here is a relaxed BeCr2Pb crystal from Alexandria via LeMat-Bulk. Energies are from PBE.

Structure (POSCAR):
```
BeCr2Pb
1.0
4.654 -0.074 -0.034
1.095 4.524 0.034
-2.854 -2.251 2.907
Pb Cr Be
1 2 1
Direct
0.500 0.500 0.000
0.000 0.000 0.000
0.750 0.250 0.500
0.250 0.750 0.500
```

Computed properties:
The calculated formation energy is 0.6023 eV/atom. The total energy comes out at -6.068 eV per atom.

***

9.
Here is a relaxed BeCr2Pb crystal from Alexandria via LeMat-Bulk. Energies are from PBE.

Structure (POSCAR):
```
BeCr2Pb
1.0
3.123 0.000 0.000
0.000 3.123 0.000
0.000 0.000 6.098
Pb Cr Be
1 2 1
Direct
0.500 0.500 0.250
0.000 0.000 0.912
0.000 0.000 0.588
0.500 0.500 0.750
```

Computed properties:
The calculated formation energy is 0.5414 eV/atom. The total energy comes out at -6.129 eV per atom.

***

10.
Here is a relaxed BeCrPb2 crystal from Alexandria via LeMat-Bulk. Energies are from PBE.

Structure (POSCAR):
```
BeCrPb2
1.0
-3.115 2.412 0.744
-2.138 -3.130 1.198
0.607 -0.879 5.392
Pb Cr Be
2 1 1
Direct
0.000 0.981 0.913
0.500 0.267 0.339
0.500 0.557 0.760
0.000 0.694 0.489
```

Computed properties:
The calculated formation energy is 0.5273 eV/atom. The total energy comes out at -4.664 eV per atom.

***

11.
Here is a relaxed BeCrPb2 crystal from Alexandria via LeMat-Bulk. Energies are from PBE.

Structure (POSCAR):
```
BeCrPb2
1.0
7.585 0.000 0.000
0.000 7.585 0.000
3.793 3.793 3.131
Pb Cr Be
4 2 2
Direct
0.581 0.125 0.250
0.169 0.625 0.250
0.375 0.419 0.750
0.875 0.831 0.750
0.000 0.000 0.000
0.750 0.250 0.500
0.500 0.500 0.000
0.250 0.750 0.500
```

Computed properties:
The calculated formation energy is 0.7635 eV/atom. The total energy comes out at -4.428 eV per atom.

***

12.
Here is a relaxed Be2CrPb crystal from Alexandria via LeMat-Bulk. Energies are from PBE.

Structure (POSCAR):
```
Be2CrPb
1.0
-2.345 -3.607 2.083
1.578 -4.201 -1.645
2.250 3.832 1.760
Pb Cr Be
1 1 2
Direct
0.250 0.750 0.500
0.750 0.250 0.500
0.000 0.000 0.000
0.500 0.500 0.000
```

Computed properties:
The calculated formation energy is 0.6715 eV/atom. The total energy comes out at -4.525 eV per atom.